Entry from Alexandria: an optimized crystal structure of CaCrSnW2 (GGA-PBE).

Size of the total moment (Bohr magnetons per cell): 0.000
Final energy (eV/atom): -5.5444
Theoretical density (kg/m³): 9827

Lattice parameters (Å, degrees): 4.7860 4.2675 4.7860 90.00 90.00 90.00
With the nearest neighbours (Å) after each atom.
Fractional coordinates of all 5 atoms:
Ca: 0.0000 0.0000 0.0000  2 Cr 2.13
W: 0.5000 0.0000 0.0000  2 Ca 2.39
Sn: 0.5000 0.5000 0.5000  8 W 3.21, 4 Cr 3.38
W: 0.0000 0.0000 0.5000  2 Ca 2.39
Cr: 0.0000 0.5000 0.0000  2 Ca 2.13